## NaSiSe2O8 (PBE)

Data for crystalline NaSiSe2O8 at its relaxed geometry.

- volume (Å³/atom) = 12.800
- formation energy from raw total energies (eV/atom) = -0.980
- crystal system = monoclinic
- space group = C2/m (12)
- energy (eV/atom) = -5.43
- magnetization (μB per formula unit) = 0.00

Geometry as POSCAR:
```
NaSiSe2O8
1.0
-0.953 -3.454 4.030
0.521 -5.476 -0.962
5.862 -4.205 1.390
Na Si Se O
1 1 2 8
Direct
0.500 0.500 0.500 Na
0.000 0.000 0.000 Si
0.311 0.270 0.107 Se
0.689 0.730 0.893 Se
0.882 0.432 0.803 O
0.662 0.505 0.171 O
0.118 0.568 0.197 O
0.338 0.495 0.829 O
0.660 0.996 0.198 O
0.340 0.004 0.802 O
0.146 0.996 0.198 O
0.854 0.004 0.802 O
```